No. 1
Entry from the Alexandria database: Zr3Os after structural relaxation (PBE).

Output
- SG: Pmmm, No. 47
- Energy of formation from the pure elements: -0.01 eV per atom
- Size of the total moment: 0.00 μB per atom

abc: 3.239 4.299 5.781
angles: 90.00 90.00 90.00
Fractional coordinates of all 4 atoms:
Zr (0.000, 0.000, 0.000)
Zr (0.500, 0.500, 0.270)
Zr (0.500, 0.500, 0.730)
Os (0.000, 0.000, 0.500)

No. 2
Entry from the Alexandria database: ZrOs2 after structural relaxation (PBE).

Output
- SG: Cm, No. 8
- Energy of formation from the pure elements: 0.04 eV per atom
- Size of the total moment: 0.00 μB per atom

abc: 10.247 2.939 6.869
angles: 90.00 106.65 90.00
Fractional coordinates of all 12 atoms:
Zr (0.000, 0.000, 0.000)
Zr (0.160, 0.500, 0.377)
Zr (0.500, 0.500, 0.000)
Zr (0.660, 0.000, 0.377)
Os (0.121, 0.500, 0.751)
Os (0.297, 0.000, 0.093)
Os (0.333, 0.000, 0.700)
Os (0.431, 0.500, 0.435)
Os (0.621, 0.000, 0.751)
Os (0.797, 0.500, 0.093)
Os (0.833, 0.500, 0.700)
Os (0.931, 0.000, 0.435)

No. 3
Entry from the Alexandria database: Zr2Os after structural relaxation (PBE).

Output
- SG: Immm, No. 71
- Energy of formation from the pure elements: -0.22 eV per atom
- Size of the total moment: 0.00 μB per atom

abc: 3.474 6.163 11.673
angles: 90.00 90.00 90.00
Fractional coordinates of all 12 atoms:
Zr (0.000, 0.000, 0.207)
Zr (0.000, 0.000, 0.793)
Zr (0.000, 0.258, 0.500)
Zr (0.000, 0.742, 0.500)
Zr (0.500, 0.242, 0.000)
Zr (0.500, 0.500, 0.293)
Zr (0.500, 0.500, 0.707)
Zr (0.500, 0.758, 0.000)
Os (0.000, 0.500, 0.125)
Os (0.000, 0.500, 0.875)
Os (0.500, 0.000, 0.375)
Os (0.500, 0.000, 0.625)

No. 4
Entry from the Alexandria database: ZrOs3 after structural relaxation (PBE).

Output
- SG: Cmmm, No. 65
- Energy of formation from the pure elements: 0.05 eV per atom
- Size of the total moment: 0.00 μB per atom

abc: 5.622 7.907 2.843
angles: 90.00 90.00 90.00
Fractional coordinates of all 8 atoms:
Zr (0.000, 0.000, 0.000)
Zr (0.500, 0.500, 0.000)
Os (0.000, 0.500, 0.000)
Os (0.250, 0.250, 0.500)
Os (0.250, 0.750, 0.500)
Os (0.500, 0.000, 0.000)
Os (0.750, 0.250, 0.500)
Os (0.750, 0.750, 0.500)

No. 5
Entry from the Alexandria database: Zr3Os after structural relaxation (PBE).

Output
- SG: P6_3/mmc, No. 194
- Energy of formation from the pure elements: 0.01 eV per atom
- Size of the total moment: 0.00 μB per atom

abc: 5.974 5.974 5.217
angles: 90.00 90.00 120.00
Fractional coordinates of all 8 atoms:
Zr (0.173, 0.346, 0.250)
Zr (0.173, 0.827, 0.250)
Zr (0.346, 0.173, 0.750)
Zr (0.654, 0.827, 0.250)
Zr (0.827, 0.173, 0.750)
Zr (0.827, 0.654, 0.750)
Os (0.333, 0.667, 0.750)
Os (0.667, 0.333, 0.250)

No. 6
Entry from the Alexandria database: ZrOs4 after structural relaxation (PBE).

Output
- SG: I4/m, No. 87
- Energy of formation from the pure elements: 0.04 eV per atom
- Size of the total moment: 0.00 μB per atom

abc: 6.337 6.337 3.936
angles: 90.00 90.00 90.00
Fractional coordinates of all 10 atoms:
Zr (0.000, 0.000, 0.000)
Zr (0.500, 0.500, 0.500)
Os (0.093, 0.686, 0.500)
Os (0.186, 0.407, 0.000)
Os (0.314, 0.093, 0.500)
Os (0.407, 0.814, 0.000)
Os (0.593, 0.186, 0.000)
Os (0.686, 0.907, 0.500)
Os (0.814, 0.593, 0.000)
Os (0.907, 0.314, 0.500)

No. 7
Entry from the Alexandria database: ZrOs3 after structural relaxation (PBE).

Output
- SG: Pm-3m, No. 221
- Energy of formation from the pure elements: 3.46 eV per atom
- Size of the total moment: 1.10 μB per atom

abc: 4.908 4.908 4.908
angles: 90.00 90.00 90.00
Fractional coordinates of all 4 atoms:
Zr (0.000, 0.000, 0.000)
Os (0.000, 0.000, 0.500)
Os (0.000, 0.500, 0.000)
Os (0.500, 0.000, 0.000)

No. 8
Entry from the Alexandria database: Zr2Os after structural relaxation (PBE).

Output
- SG: P-62m, No. 189
- Energy of formation from the pure elements: -0.25 eV per atom
- Size of the total moment: 0.00 μB per atom

abc: 7.007 7.007 4.330
angles: 90.00 90.00 120.00
Fractional coordinates of all 9 atoms:
Zr (0.000, 0.255, 0.000)
Zr (0.000, 0.580, 0.500)
Zr (0.255, 0.000, 0.000)
Zr (0.420, 0.420, 0.500)
Zr (0.580, 0.000, 0.500)
Zr (0.745, 0.745, 0.000)
Os (0.000, 0.000, 0.500)
Os (0.333, 0.667, 0.000)
Os (0.667, 0.333, 0.000)

No. 9
Entry from the Alexandria database: Zr3Os after structural relaxation (PBE).

Output
- SG: P2/m, No. 10
- Energy of formation from the pure elements: -0.14 eV per atom
- Size of the total moment: 0.00 μB per atom

abc: 3.174 4.565 5.752
angles: 90.00 105.09 90.00
Fractional coordinates of all 4 atoms:
Zr (0.000, 0.000, 0.000)
Zr (0.296, 0.500, 0.729)
Zr (0.704, 0.500, 0.271)
Os (0.500, 0.000, 0.500)

No. 10
Entry from the Alexandria database: ZrOs2 after structural relaxation (PBE).

Output
- SG: I4_1/amd, No. 141
- Energy of formation from the pure elements: 0.15 eV per atom
- Size of the total moment: 0.00 μB per atom

abc: 3.931 3.931 15.134
angles: 90.00 90.00 90.00
Fractional coordinates of all 12 atoms:
Zr (0.000, 0.250, 0.375)
Zr (0.000, 0.750, 0.625)
Zr (0.500, 0.250, 0.125)
Zr (0.500, 0.750, 0.875)
Os (0.000, 0.250, 0.796)
Os (0.000, 0.250, 0.954)
Os (0.000, 0.750, 0.046)
Os (0.000, 0.750, 0.204)
Os (0.500, 0.250, 0.546)
Os (0.500, 0.250, 0.704)
Os (0.500, 0.750, 0.296)
Os (0.500, 0.750, 0.454)

No. 11
Entry from the Alexandria database: Zr4Os after structural relaxation (PBE).

Output
- SG: I4/m, No. 87
- Energy of formation from the pure elements: -0.22 eV per atom
- Size of the total moment: 0.00 μB per atom

abc: 7.951 7.951 3.305
angles: 90.00 90.00 90.00
Fractional coordinates of all 10 atoms:
Zr (0.086, 0.277, 0.000)
Zr (0.223, 0.586, 0.500)
Zr (0.277, 0.914, 0.000)
Zr (0.414, 0.223, 0.500)
Zr (0.586, 0.777, 0.500)
Zr (0.723, 0.086, 0.000)
Zr (0.777, 0.414, 0.500)
Zr (0.914, 0.723, 0.000)
Os (0.000, 0.000, 0.500)
Os (0.500, 0.500, 0.000)

No. 12
Entry from the Alexandria database: Zr3Os after structural relaxation (PBE).

Output
- SG: P4/mmm, No. 123
- Energy of formation from the pure elements: -0.13 eV per atom
- Size of the total moment: 0.00 μB per atom

abc: 4.848 4.848 3.351
angles: 90.00 90.00 90.00
Fractional coordinates of all 4 atoms:
Zr (0.000, 0.000, 0.000)
Zr (0.000, 0.500, 0.500)
Zr (0.500, 0.000, 0.500)
Os (0.500, 0.500, 0.000)

No. 13
Entry from the Alexandria database: ZrOs2 after structural relaxation (PBE).

Output
- SG: P6_3/mmc, No. 194
- Energy of formation from the pure elements: -0.36 eV per atom
- Size of the total moment: 0.00 μB per atom

abc: 5.252 5.252 17.098
angles: 90.00 90.00 120.00
Fractional coordinates of all 24 atoms:
Zr (0.000, 0.000, 0.091)
Zr (0.000, 0.000, 0.409)
Zr (0.000, 0.000, 0.591)
Zr (0.000, 0.000, 0.909)
Zr (0.333, 0.667, 0.156)
Zr (0.333, 0.667, 0.344)
Zr (0.667, 0.333, 0.656)
Zr (0.667, 0.333, 0.844)
Os (0.000, 0.500, 0.000)
Os (0.000, 0.500, 0.500)
Os (0.161, 0.321, 0.750)
Os (0.161, 0.839, 0.750)
Os (0.321, 0.161, 0.250)
Os (0.333, 0.667, 0.628)
Os (0.333, 0.667, 0.872)
Os (0.500, 0.000, 0.000)
Os (0.500, 0.000, 0.500)
Os (0.500, 0.500, 0.000)
Os (0.500, 0.500, 0.500)
Os (0.667, 0.333, 0.128)
Os (0.667, 0.333, 0.372)
Os (0.679, 0.839, 0.750)
Os (0.839, 0.161, 0.250)
Os (0.839, 0.679, 0.250)

No. 14
Entry from the Alexandria database: ZrOs2 after structural relaxation (PBE).

Output
- SG: P6_3/mmc, No. 194
- Energy of formation from the pure elements: 0.16 eV per atom
- Size of the total moment: 0.00 μB per atom

abc: 4.550 4.550 5.582
angles: 90.00 90.00 120.00
Fractional coordinates of all 6 atoms:
Zr (0.333, 0.667, 0.250)
Zr (0.667, 0.333, 0.750)
Os (0.000, 0.000, 0.000)
Os (0.000, 0.000, 0.500)
Os (0.333, 0.667, 0.750)
Os (0.667, 0.333, 0.250)

No. 15
Entry from the Alexandria database: Zr2Os after structural relaxation (PBE).

Output
- SG: I4_1/amd, No. 141
- Energy of formation from the pure elements: -0.10 eV per atom
- Size of the total moment: 0.00 μB per atom

abc: 3.116 3.116 26.246
angles: 90.00 90.00 90.00
Fractional coordinates of all 12 atoms:
Zr (0.000, 0.250, 0.309)
Zr (0.000, 0.250, 0.441)
Zr (0.000, 0.750, 0.559)
Zr (0.000, 0.750, 0.691)
Zr (0.500, 0.250, 0.059)
Zr (0.500, 0.250, 0.191)
Zr (0.500, 0.750, 0.809)
Zr (0.500, 0.750, 0.941)
Os (0.000, 0.250, 0.875)
Os (0.000, 0.750, 0.125)
Os (0.500, 0.250, 0.625)
Os (0.500, 0.750, 0.375)

No. 16
Entry from the Alexandria database: ZrOs3 after structural relaxation (PBE).

Output
- SG: C2/m, No. 12
- Energy of formation from the pure elements: 0.04 eV per atom
- Size of the total moment: 0.00 μB per atom

abc: 9.404 2.856 4.883
angles: 90.00 100.37 90.00
Fractional coordinates of all 8 atoms:
Zr (0.000, 0.000, 0.000)
Zr (0.500, 0.500, 0.000)
Os (0.000, 0.500, 0.500)
Os (0.238, 0.000, 0.721)
Os (0.262, 0.500, 0.279)
Os (0.500, 0.000, 0.500)
Os (0.738, 0.500, 0.721)
Os (0.762, 0.000, 0.279)

No. 17
Entry from the Alexandria database: Zr3Os5 after structural relaxation (PBE).

Output
- SG: C2/m, No. 12
- Energy of formation from the pure elements: 0.05 eV per atom
- Size of the total moment: 0.00 μB per atom

abc: 6.872 6.872 8.850
angles: 96.00 96.00 136.06
Fractional coordinates of all 16 atoms:
Zr (0.185, 0.815, 0.000)
Zr (0.243, 0.757, 0.500)
Zr (0.294, 0.294, 0.594)
Zr (0.706, 0.706, 0.406)
Zr (0.757, 0.243, 0.500)
Zr (0.815, 0.185, 0.000)
Os (0.057, 0.258, 0.288)
Os (0.244, 0.244, 0.946)
Os (0.258, 0.057, 0.288)
Os (0.261, 0.578, 0.800)
Os (0.422, 0.739, 0.200)
Os (0.578, 0.261, 0.800)
Os (0.739, 0.422, 0.200)
Os (0.742, 0.943, 0.712)
Os (0.756, 0.756, 0.054)
Os (0.943, 0.742, 0.712)

No. 18
Entry from the Alexandria database: Zr3Os after structural relaxation (PBE).

Output
- SG: P4/mmm, No. 123
- Energy of formation from the pure elements: -0.25 eV per atom
- Size of the total moment: 0.00 μB per atom

abc: 3.293 3.293 7.497
angles: 90.00 90.00 90.00
Fractional coordinates of all 4 atoms:
Zr (0.000, 0.000, 0.000)
Zr (0.500, 0.500, 0.282)
Zr (0.500, 0.500, 0.718)
Os (0.000, 0.000, 0.500)

No. 19
Entry from the Alexandria database: ZrOs3 after structural relaxation (PBE).

Output
- SG: Fm-3m, No. 225
- Energy of formation from the pure elements: 0.35 eV per atom
- Size of the total moment: 0.43 μB per atom

abc: 6.374 6.374 6.374
angles: 90.00 90.00 90.00
Fractional coordinates of all 16 atoms:
Zr (0.000, 0.000, 0.000)
Zr (0.000, 0.500, 0.500)
Zr (0.500, 0.000, 0.500)
Zr (0.500, 0.500, 0.000)
Os (0.000, 0.000, 0.500)
Os (0.000, 0.500, 0.000)
Os (0.250, 0.250, 0.250)
Os (0.250, 0.250, 0.750)
Os (0.250, 0.750, 0.250)
Os (0.250, 0.750, 0.750)
Os (0.500, 0.000, 0.000)
Os (0.500, 0.500, 0.500)
Os (0.750, 0.250, 0.250)
Os (0.750, 0.250, 0.750)
Os (0.750, 0.750, 0.250)
Os (0.750, 0.750, 0.750)

No. 20
Entry from the Alexandria database: Zr2Os after structural relaxation (PBE).

Output
- SG: P-3m1, No. 164
- Energy of formation from the pure elements: -0.26 eV per atom
- Size of the total moment: 0.00 μB per atom

abc: 4.580 4.580 3.154
angles: 90.00 90.00 120.00
Fractional coordinates of all 3 atoms:
Zr (0.333, 0.667, 0.307)
Zr (0.667, 0.333, 0.693)
Os (0.000, 0.000, 0.000)

No. 21
Entry from the Alexandria database: Zr4Os after structural relaxation (PBE).

Output
- SG: I4/mmm, No. 139
- Energy of formation from the pure elements: 0.68 eV per atom
- Size of the total moment: 0.00 μB per atom

abc: 3.689 3.689 16.689
angles: 90.00 90.00 90.00
Fractional coordinates of all 10 atoms:
Zr (0.000, 0.000, 0.084)
Zr (0.000, 0.000, 0.916)
Zr (0.000, 0.500, 0.250)
Zr (0.000, 0.500, 0.750)
Zr (0.500, 0.000, 0.250)
Zr (0.500, 0.000, 0.750)
Zr (0.500, 0.500, 0.416)
Zr (0.500, 0.500, 0.584)
Os (0.000, 0.000, 0.500)
Os (0.500, 0.500, 0.000)

No. 22
Entry from the Alexandria database: ZrOs3 after structural relaxation (PBE).

Output
- SG: Cmcm, No. 63
- Energy of formation from the pure elements: 0.01 eV per atom
- Size of the total moment: 0.00 μB per atom

abc: 5.867 9.612 4.540
angles: 90.00 90.00 90.00
Fractional coordinates of all 16 atoms:
Zr (0.000, 0.142, 0.250)
Zr (0.000, 0.858, 0.750)
Zr (0.500, 0.358, 0.750)
Zr (0.500, 0.642, 0.250)
Os (0.000, 0.328, 0.750)
Os (0.000, 0.672, 0.250)
Os (0.226, 0.407, 0.250)
Os (0.226, 0.593, 0.750)
Os (0.274, 0.093, 0.750)
Os (0.274, 0.907, 0.250)
Os (0.500, 0.172, 0.250)
Os (0.500, 0.828, 0.750)
Os (0.726, 0.093, 0.750)
Os (0.726, 0.907, 0.250)
Os (0.774, 0.407, 0.250)
Os (0.774, 0.593, 0.750)

No. 23
Entry from the Alexandria database: ZrOs2 after structural relaxation (PBE).

Output
- SG: Immm, No. 71
- Energy of formation from the pure elements: 0.02 eV per atom
- Size of the total moment: 0.00 μB per atom

abc: 2.824 3.909 9.352
angles: 90.00 90.00 90.00
Fractional coordinates of all 6 atoms:
Zr (0.000, 0.000, 0.000)
Zr (0.500, 0.500, 0.500)
Os (0.000, 0.000, 0.304)
Os (0.000, 0.000, 0.696)
Os (0.500, 0.500, 0.196)
Os (0.500, 0.500, 0.804)

No. 24
Entry from the Alexandria database: Zr7Os3 after structural relaxation (PBE).

Output
- SG: P6_3mc, No. 186
- Energy of formation from the pure elements: -0.25 eV per atom
- Size of the total moment: 0.00 μB per atom

abc: 9.271 9.271 5.689
angles: 90.00 90.00 120.00
Fractional coordinates of all 20 atoms:
Zr (0.071, 0.536, 0.000)
Zr (0.130, 0.260, 0.274)
Zr (0.130, 0.870, 0.274)
Zr (0.260, 0.130, 0.774)
Zr (0.333, 0.667, 0.492)
Zr (0.464, 0.536, 0.000)
Zr (0.464, 0.929, 0.000)
Zr (0.536, 0.071, 0.500)
Zr (0.536, 0.464, 0.500)
Zr (0.667, 0.333, 0.992)
Zr (0.740, 0.870, 0.274)
Zr (0.870, 0.130, 0.774)
Zr (0.870, 0.740, 0.774)
Zr (0.929, 0.464, 0.500)
Os (0.188, 0.375, 0.743)
Os (0.188, 0.812, 0.743)
Os (0.375, 0.188, 0.243)
Os (0.625, 0.812, 0.743)
Os (0.812, 0.188, 0.243)
Os (0.812, 0.625, 0.243)

No. 25
Entry from the Alexandria database: Zr2Os after structural relaxation (PBE).

Output
- SG: P6_3/mmc, No. 194
- Energy of formation from the pure elements: 0.61 eV per atom
- Size of the total moment: 0.00 μB per atom

abc: 5.491 5.491 8.802
angles: 90.00 90.00 120.00
Fractional coordinates of all 12 atoms:
Zr (0.000, 0.000, 0.000)
Zr (0.000, 0.000, 0.500)
Zr (0.175, 0.349, 0.250)
Zr (0.175, 0.825, 0.250)
Zr (0.349, 0.175, 0.750)
Zr (0.651, 0.825, 0.250)
Zr (0.825, 0.175, 0.750)
Zr (0.825, 0.651, 0.750)
Os (0.333, 0.667, 0.548)
Os (0.333, 0.667, 0.952)
Os (0.667, 0.333, 0.048)
Os (0.667, 0.333, 0.452)

No. 26
Entry from the Alexandria database: Zr7Os after structural relaxation (PBE).

Output
- SG: Fm-3m, No. 225
- Energy of formation from the pure elements: 0.10 eV per atom
- Size of the total moment: 0.00 μB per atom

abc: 6.244 6.244 6.244
angles: 60.00 60.00 60.00
Fractional coordinates of all 8 atoms:
Zr (0.000, 0.000, 0.000)
Zr (0.000, 0.000, 0.500)
Zr (0.000, 0.500, 0.000)
Zr (0.000, 0.500, 0.500)
Zr (0.500, 0.000, 0.000)
Zr (0.500, 0.000, 0.500)
Zr (0.500, 0.500, 0.000)
Os (0.500, 0.500, 0.500)